## InSnAu (GGA-PBE)

Data for an optimized crystal structure of InSnAu.

a = 6.174 Å, b = 3.727 Å, c = 6.462 Å
α = 90.00°, β = 90.05°, γ = 90.00°
Positions (direct):
In  0.000  0.000  0.000
In  0.002  0.500  0.498
Sn  0.605  0.000  0.334
Sn  0.607  0.500  0.832
Au  0.305  0.000  0.668
Au  0.305  0.500  0.165

Properties
The calculation puts the density of states at the Fermi level at 0.43 states/eV per atom. The calculation puts the energy relative to the elements at -0.3 eV per formula unit. The size of the total moment comes out at 0.0 μB per cell.